Density functional theory data (PBE+U) for CaMnMoO6 after structural relaxation.

Summary:
- Total DFT energy (no corrections): -124.56 eV for the cell shown
- Total magnetic moment: 6.01 μB per cell

abc: 4.8045 4.8045 9.3438
angles: 90.00 90.00 90.00
Each line ends with the local moment (μB).
Positions (direct):
O  0.2146  0.7854  0.8062  -0.04
O  0.6705  0.6705  0.9983  -0.09
O  0.1705  0.8295  0.4983  -0.09
O  0.8295  0.1705  0.4983  -0.09
O  0.3295  0.3295  0.9983  -0.09
O  0.2148  0.7852  0.1901  -0.02
O  0.2852  0.2852  0.6901  -0.02
O  0.7148  0.7148  0.6901  -0.02
O  0.7852  0.2148  0.1901  -0.02
O  0.2854  0.2854  0.3062  -0.04
O  0.7146  0.7146  0.3062  -0.04
O  0.7854  0.2146  0.8062  -0.04
Mn  0.0000  0.0000  0.3345  3.17
Mn  0.5000  0.5000  0.8345  3.17
Mo  0.0000  0.0000  0.6719  0.10
Mo  0.5000  0.5000  0.1719  0.10
Ca  0.5000  0.5000  0.5045  0.00
Ca  0.0000  0.0000  0.0045  0.00